Record 1
This record from Alexandria describes a relaxed structure of TbPuMnRu. The functional is GGA-PBE.

abc: 4.834 4.834 4.834
angles: 60.00 60.00 60.00
Positions (direct):
Tb (0.000, 0.000, 0.000)
Pu (0.500, 0.500, 0.500)
Mn (0.250, 0.250, 0.250)
Ru (0.750, 0.750, 0.750)

Results
Energy relative to the elements   -67 meV/atom
Space-group type   F-43m, No. 216
Fermi-level density of states   1.436 states/eV/atom


Record 2
This record from Alexandria describes a relaxed structure of CrFe2Ru. The functional is GGA-PBE.

abc: 2.549 2.549 8.236
angles: 90.00 90.00 111.46
Positions (direct):
Cr (0.000, 0.000, 0.000)
Fe (0.000, 0.000, 0.518)
Fe (0.500, 0.500, 0.760)
Ru (0.500, 0.500, 0.254)

Results
Energy relative to the elements   172 meV/atom
Space-group type   Cmm2, No. 35
Fermi-level density of states   1.232 states/eV/atom


Record 3
This record from Alexandria describes a relaxed structure of YTm2Ag3Se6. The functional is GGA-PBE.

abc: 9.075 9.075 8.070
angles: 100.82 100.82 26.36
Positions (direct):
Y (0.000, 0.000, 0.000)
Tm (0.333, 0.333, 0.665)
Tm (0.667, 0.667, 0.335)
Ag (0.000, 0.000, 0.500)
Ag (0.335, 0.335, 0.163)
Ag (0.665, 0.665, 0.837)
Se (0.166, 0.166, 0.091)
Se (0.169, 0.169, 0.580)
Se (0.497, 0.497, 0.750)
Se (0.503, 0.503, 0.250)
Se (0.831, 0.831, 0.420)
Se (0.834, 0.834, 0.909)

Results
Space-group type   C2/m, No. 12
DFT total energy   -0.1800 hartree per atom
Fermi-level density of states   0.000 states/eV/atom


Record 4
This record from Alexandria describes a relaxed structure of Zn5Pd3Br12. The functional is GGA-PBE.

abc: 14.019 14.019 14.019
angles: 109.47 109.47 109.47
Positions (direct):
Zn (0.000, 0.000, 0.000)
Zn (0.000, 0.000, 0.500)
Zn (0.000, 0.500, 0.000)
Zn (0.000, 0.500, 0.500)
Zn (0.125, 0.750, 0.875)
Zn (0.125, 0.875, 0.250)
Zn (0.250, 0.125, 0.875)
Zn (0.250, 0.625, 0.375)
Zn (0.375, 0.250, 0.625)
Zn (0.375, 0.625, 0.750)
Zn (0.500, 0.000, 0.000)
Zn (0.500, 0.000, 0.500)
Zn (0.500, 0.500, 0.000)
Zn (0.500, 0.500, 0.500)
Zn (0.625, 0.375, 0.250)
Zn (0.625, 0.750, 0.375)
Zn (0.750, 0.375, 0.625)
Zn (0.750, 0.875, 0.125)
Zn (0.875, 0.125, 0.750)
Zn (0.875, 0.250, 0.125)
Pd (0.125, 0.250, 0.375)
Pd (0.125, 0.375, 0.750)
Pd (0.250, 0.375, 0.125)
Pd (0.250, 0.875, 0.625)
Pd (0.375, 0.125, 0.250)
Pd (0.375, 0.750, 0.125)
Pd (0.625, 0.250, 0.875)
Pd (0.625, 0.875, 0.750)
Pd (0.750, 0.125, 0.375)
Pd (0.750, 0.625, 0.875)
Pd (0.875, 0.625, 0.250)
Pd (0.875, 0.750, 0.625)
Br (0.031, 0.208, 0.127)
Br (0.031, 0.323, 0.903)
Br (0.080, 0.708, 0.677)
Br (0.080, 0.873, 0.403)
Br (0.097, 0.627, 0.420)
Br (0.097, 0.969, 0.677)
Br (0.127, 0.031, 0.208)
Br (0.127, 0.597, 0.920)
Br (0.177, 0.208, 0.580)
Br (0.177, 0.469, 0.597)
Br (0.208, 0.127, 0.031)
Br (0.208, 0.580, 0.177)
Br (0.292, 0.323, 0.920)
Br (0.292, 0.469, 0.373)
Br (0.323, 0.903, 0.031)
Br (0.323, 0.920, 0.292)
Br (0.373, 0.292, 0.469)
Br (0.373, 0.580, 0.903)
Br (0.403, 0.080, 0.873)
Br (0.403, 0.823, 0.531)
Br (0.420, 0.097, 0.627)
Br (0.420, 0.823, 0.792)
Br (0.469, 0.373, 0.292)
Br (0.469, 0.597, 0.177)
Br (0.531, 0.403, 0.823)
Br (0.531, 0.627, 0.708)
Br (0.580, 0.177, 0.208)
Br (0.580, 0.903, 0.373)
Br (0.597, 0.177, 0.469)
Br (0.597, 0.920, 0.127)
Br (0.627, 0.420, 0.097)
Br (0.627, 0.708, 0.531)
Br (0.677, 0.080, 0.708)
Br (0.677, 0.097, 0.969)
Br (0.708, 0.531, 0.627)
Br (0.708, 0.677, 0.080)
Br (0.792, 0.420, 0.823)
Br (0.792, 0.873, 0.969)
Br (0.823, 0.531, 0.403)
Br (0.823, 0.792, 0.420)
Br (0.873, 0.403, 0.080)
Br (0.873, 0.969, 0.792)
Br (0.903, 0.031, 0.323)
Br (0.903, 0.373, 0.580)
Br (0.920, 0.127, 0.597)
Br (0.920, 0.292, 0.323)
Br (0.969, 0.677, 0.097)
Br (0.969, 0.792, 0.873)

Results
Space-group type   Ia-3d, No. 230
DFT total energy   -0.0909 hartree per atom
Fermi-level density of states   0.950 states/eV/atom


Record 5
This record from Alexandria describes a relaxed structure of Na2GaGe2. The functional is GGA-PBE.

abc: 5.879 5.879 10.645
angles: 117.28 117.28 44.84
Positions (direct):
Na (0.018, 0.018, 0.192)
Na (0.192, 0.192, 0.607)
Na (0.808, 0.808, 0.393)
Na (0.982, 0.982, 0.808)
Ga (0.289, 0.289, 0.150)
Ga (0.711, 0.711, 0.850)
Ge (0.365, 0.365, 0.951)
Ge (0.480, 0.480, 0.604)
Ge (0.520, 0.520, 0.396)
Ge (0.635, 0.635, 0.049)

Results
Energy relative to the elements   -134 meV/atom
Space-group type   C2/m, No. 12
Fermi-level density of states   0.377 states/eV/atom


Record 6
This record from Alexandria describes a relaxed structure of Na2Zn9Au6. The functional is GGA-PBE.

abc: 5.490 5.490 12.907
angles: 90.00 90.00 120.00
Positions (direct):
Na (0.000, 0.000, 0.165)
Na (0.000, 0.000, 0.835)
Zn (0.000, 0.500, 0.000)
Zn (0.000, 0.500, 0.336)
Zn (0.000, 0.500, 0.664)
Zn (0.500, 0.000, 0.000)
Zn (0.500, 0.000, 0.336)
Zn (0.500, 0.000, 0.664)
Zn (0.500, 0.500, 0.000)
Zn (0.500, 0.500, 0.336)
Zn (0.500, 0.500, 0.664)
Au (0.333, 0.667, 0.168)
Au (0.333, 0.667, 0.500)
Au (0.333, 0.667, 0.832)
Au (0.667, 0.333, 0.168)
Au (0.667, 0.333, 0.500)
Au (0.667, 0.333, 0.832)

Results
Energy relative to the elements   -182 meV/atom
Space-group type   P6/mmm, No. 191
Fermi-level density of states   0.319 states/eV/atom


Record 7
This record from Alexandria describes a relaxed structure of NiRuSe2. The functional is GGA-PBE.

abc: 6.942 6.942 6.942
angles: 30.63 30.63 30.63
Positions (direct):
Ni (0.000, 0.000, 0.000)
Ru (0.749, 0.749, 0.749)
Se (0.296, 0.296, 0.296)
Se (0.474, 0.474, 0.474)

Results
Space-group type   R3m, No. 160
DFT total energy   -0.2029 hartree per atom
Fermi-level density of states   0.869 states/eV/atom


Record 8
This record from Alexandria describes a relaxed structure of Pu2MgHg. The functional is GGA-PBE.

abc: 4.111 4.111 6.112
angles: 90.00 90.00 90.00
Positions (direct):
Pu (0.000, 0.000, 0.243)
Pu (0.000, 0.000, 0.757)
Mg (0.500, 0.500, 0.500)
Hg (0.500, 0.500, 0.000)

Results
Energy relative to the elements   58 meV/atom
Space-group type   P4/mmm, No. 123
Fermi-level density of states   3.448 states/eV/atom


Record 9
This record from Alexandria describes a relaxed structure of NaTb2Er. The functional is GGA-PBE.

abc: 3.508 3.508 10.610
angles: 90.00 90.00 90.00
Positions (direct):
Na (0.000, 0.000, 0.000)
Tb (0.500, 0.500, 0.270)
Tb (0.500, 0.500, 0.730)
Er (0.000, 0.000, 0.500)

Results
Energy relative to the elements   126 meV/atom
Space-group type   P4/mmm, No. 123
Fermi-level density of states   1.086 states/eV/atom


Record 10
This record from Alexandria describes a relaxed structure of PtC3Se. The functional is GGA-PBE.

abc: 4.057 4.057 4.057
angles: 90.00 90.00 90.00
Positions (direct):
Pt (0.000, 0.000, 0.000)
C (0.000, 0.000, 0.500)
C (0.000, 0.500, 0.000)
C (0.500, 0.000, 0.000)
Se (0.500, 0.500, 0.500)

Results
Space-group type   Pm-3m, No. 221
DFT total energy   -0.1824 hartree per atom
Fermi-level density of states   0.538 states/eV/atom


Record 11
This record from Alexandria describes a relaxed structure of Tb2PmSm2Ho4. The functional is GGA-PBE.

abc: 9.513 9.513 9.567
angles: 115.23 115.23 21.81
Positions (direct):
Tb (0.147, 0.147, 0.164)
Tb (0.853, 0.853, 0.836)
Pm (0.000, 0.000, 0.500)
Sm (0.333, 0.333, 0.499)
Sm (0.667, 0.667, 0.501)
Ho (0.186, 0.186, 0.836)
Ho (0.481, 0.481, 0.164)
Ho (0.519, 0.519, 0.836)
Ho (0.814, 0.814, 0.164)

Results
Energy relative to the elements   -3 meV/atom
Space-group type   C2/m, No. 12
Fermi-level density of states   1.325 states/eV/atom